{
  "formula": "Ba2Ga3GePd4",
  "functional": "GGA-PBE",
  "state": "optimized geometry",
  "cell": [[4.588, 0.000, 0.000], [0.000, 4.588, 0.000], [0.000, 0.000, 10.339]],
  "species": ["Ba", "Ba", "Ga", "Ga", "Ga", "Ge", "Pd", "Pd", "Pd", "Pd"],
  "frac_coords": [[0.000, 0.500, 0.248], [0.500, 0.000, 0.752], [0.000, 0.500, 0.882], [0.500, 0.000, 0.118], [0.500, 0.500, 0.500], [0.000, 0.000, 0.500], [0.000, 0.000, 0.000], [0.000, 0.500, 0.622], [0.500, 0.000, 0.378], [0.500, 0.500, 0.000]],
  "energy_ev_per_atom": -4.496,
  "formation_energy_kj_per_mol_atoms": -64,
  "spacegroup": "No. 115"
}